No. 1
The following is a DFT calculation (PBE-GGA) of a relaxed structure of YNiOs.

Calculated values
E above lowest polymorph: 0.369 eV/atom
ΔE_f: 0.02 eV/f.u.
N(E_F): 10.9 states/eV/cell

Geometry as extended XYZ:
```
12
Lattice="8.2916 0.0000 0.0000 0.0000 5.3978 0.0000 -1.3511 0.0000 4.8101" Properties=species:S:1:pos:R:3 pbc="T T T"
Y 0.6841 0.0000 1.7994
Y 2.1107 2.6989 3.0107
Y 4.8298 2.6989 1.7994
Y 6.2565 0.0000 3.0107
Ni 2.0729 1.3494 0.0000
Ni 2.0729 4.0483 0.0000
Ni 6.2187 1.3494 0.0000
Ni 6.2187 4.0483 0.0000
Os -0.3223 2.6989 1.2471
Os 3.1171 0.0000 3.5630
Os 3.8235 0.0000 1.2471
Os 7.2629 2.6989 3.5630
```

***

No. 2
The following is a DFT calculation (PBE-GGA) of a relaxed structure of Ga4IBr6.

Calculated values
N(E_F): 4.0 states/eV/cell

Geometry as extended XYZ:
```
11
Lattice="5.6408 -5.8793 0.0000 5.6408 5.8793 0.0000 -3.4232 0.0000 6.8585" Properties=species:S:1:pos:R:3 pbc="T T T"
Ga 0.0000 0.0000 0.0000
Ga 2.5857 0.0000 3.7486
Ga 6.0760 2.3532 1.3129
Ga 6.0760 -2.3532 1.3129
I -0.2633 0.0000 2.6154
Br 1.1298 3.9172 6.0797
Br -1.1541 0.0000 6.3568
Br 3.7769 2.0554 2.8988
Br 2.6807 0.0000 6.3963
Br 3.7769 -2.0554 2.8988
Br 1.1298 -3.9172 6.0797
```

***

No. 3
The following is a DFT calculation (PBE-GGA) of a relaxed structure of Dy3Ga8Tc3.

Calculated values
ΔE_f: -6.57 eV/f.u.
N(E_F): 5.9 states/eV/cell

Geometry as extended XYZ:
```
14
Lattice="-2.1566 4.6835 6.2805 2.1566 -4.6835 6.2805 2.1566 4.6835 -6.2805" Properties=species:S:1:pos:R:3 pbc="T T T"
Dy 0.0000 0.0000 0.0000
Dy 0.0000 0.0000 3.7087
Dy 0.0000 0.0000 8.8522
Ga 2.1566 -1.2900 1.8768
Ga 2.1566 -1.9789 4.5896
Ga 2.1566 1.2900 1.8768
Ga 0.0000 2.7046 1.6909
Ga 2.1566 1.9789 4.5896
Ga 0.0000 3.3935 4.4037
Ga 0.0000 6.6624 1.6909
Ga 0.0000 5.9735 4.4037
Tc 2.1566 3.1193 0.0000
Tc 0.0000 4.6835 0.0000
Tc 0.0000 1.5642 6.2805
```

***

No. 4
The following is a DFT calculation (PBE-GGA) of a relaxed structure of AcPr6Dy2Y.

Calculated values
ΔE_f: 1.14 eV/f.u.
N(E_F): 29.1 states/eV/cell

Geometry as extended XYZ:
```
20
Lattice="4.7173 -7.8065 0.0000 4.7173 7.8065 0.0000 -1.1256 0.0000 9.8290" Properties=species:S:1:pos:R:3 pbc="T T T"
Ac 3.8731 7.3884 7.3717
Ac 4.4359 -7.3884 2.4572
Pr 1.9047 4.2613 6.7164
Pr 4.0628 4.9388 0.5230
Pr 4.8090 4.9388 4.3914
Pr 2.7821 1.6827 8.6578
Pr 5.8415 4.2613 8.0271
Pr 4.9641 1.6827 6.0857
Pr 3.3449 -1.6827 3.7433
Pr 2.4675 -4.2613 1.8019
Pr 5.5269 -1.6827 1.1712
Pr 3.5000 -4.9388 5.4375
Pr 4.2462 -4.9388 9.3059
Pr 6.4043 -4.2613 3.1126
Dy 1.8106 0.8359 5.3695
Dy 2.3734 -0.8359 0.4550
Dy 5.9356 0.8359 9.3740
Dy 6.4983 -0.8359 4.4595
Y 4.4359 1.3852 2.4572
Y 3.8731 -1.3852 7.3717
```

***

No. 5
The following is a DFT calculation (PBE-GGA) of a relaxed structure of TlCr2BiCl8.

Calculated values
N(E_F): 2.6 states/eV/cell

Geometry as extended XYZ:
```
12
Lattice="6.5019 0.0000 0.0000 1.2084 6.4645 0.0000 1.8657 2.0276 8.4892" Properties=species:S:1:pos:R:3 pbc="T T T"
Tl 0.0000 0.0000 0.0000
Cr 3.9633 3.4526 1.7910
Cr 5.6128 5.0395 6.6982
Bi 0.9329 1.0138 4.2446
Cl 3.3995 6.1328 6.3048
Cl 3.0275 5.6087 2.4232
Cl 3.1790 2.5353 3.8261
Cl 2.8694 1.9623 0.1577
Cl 6.7066 6.5299 8.3315
Cl 6.3970 5.9568 4.6630
Cl 6.5486 2.8834 6.0660
Cl 6.1766 2.3593 2.1844
```

***

No. 6
The following is a DFT calculation (PBE-GGA) of a relaxed structure of RbLi2Tl3.

Calculated values
ΔE_f: -0.38 eV/f.u.
N(E_F): 4.2 states/eV/cell

Geometry as extended XYZ:
```
12
Lattice="3.3006 1.9056 10.2046 -3.3006 1.9056 10.2046 0.0000 -3.8112 10.2046" Properties=species:S:1:pos:R:3 pbc="T T T"
Rb 0.0000 0.0000 5.9740
Rb 0.0000 0.0000 24.6398
Li 0.0000 0.0000 0.0000
Li -1.6503 -0.9528 10.2046
Li -1.6503 0.9528 20.4092
Li 0.0000 1.9056 10.2046
Tl 0.0000 -1.8776 12.4957
Tl -1.6260 0.9388 12.4957
Tl -1.6260 -0.9388 18.1181
Tl 1.6260 0.9388 12.4957
Tl 1.6260 -0.9388 18.1181
Tl 0.0000 1.8776 18.1181
```

***

No. 7
The following is a DFT calculation (PBE-GGA) of a relaxed structure of CaAl2Sb2.

Calculated values
E above lowest polymorph: 0.000 eV/atom
N(E_F): 1.2 states/eV/cell

Geometry as extended XYZ:
```
5
Lattice="5.0174 0.0000 0.0000 -2.5087 4.3452 0.0000 0.0000 0.0000 6.0299" Properties=species:S:1:pos:R:3 pbc="T T T"
Ca 0.0000 0.0000 0.0000
Al 0.0000 2.8968 4.3476
Al 2.5087 1.4484 1.6823
Sb 0.0000 2.8968 1.5699
Sb 2.5087 1.4484 4.4600
```

***

No. 8
The following is a DFT calculation (PBE-GGA) of a relaxed structure of NbIn2F8.

Calculated values
N(E_F): 1.7 states/eV/cell

Geometry as extended XYZ:
```
11
Lattice="5.6673 -2.5290 0.0000 5.6673 2.5290 0.0000 -0.5553 0.0000 7.2661" Properties=species:S:1:pos:R:3 pbc="T T T"
Nb 0.0000 0.0000 0.0000
In 1.2155 0.0000 3.6884
In 9.5638 0.0000 3.5778
F 1.0980 0.0000 6.1966
F 4.3706 1.2451 6.0289
F 3.3400 0.0000 3.3533
F 6.4087 1.2451 1.2372
F 4.3706 -1.2451 6.0289
F 7.4393 0.0000 3.9129
F 6.4087 -1.2451 1.2372
F 9.6813 0.0000 1.0695
```

***

No. 9
The following is a DFT calculation (PBE-GGA) of a relaxed structure of ZnAgTe.

Calculated values
E above lowest polymorph: 0.176 eV/atom
N(E_F): 3.1 states/eV/cell

Geometry as extended XYZ:
```
6
Lattice="4.0398 0.0000 0.0000 0.0000 4.0398 0.0000 0.0000 0.0000 8.3260" Properties=species:S:1:pos:R:3 pbc="T T T"
Zn 0.0000 0.0000 0.0000
Zn 2.0199 2.0199 4.1630
Ag 0.0000 0.0000 5.6780
Ag 2.0199 2.0199 1.5150
Te 0.0000 0.0000 2.8150
Te 2.0199 2.0199 6.9780
```

***

No. 10
The following is a DFT calculation (PBE-GGA) of a relaxed structure of TbDyThMg.

Calculated values
E above lowest polymorph: 0.000 eV/atom
ΔE_f: -0.18 eV/f.u.
N(E_F): 4.3 states/eV/cell

Geometry as extended XYZ:
```
4
Lattice="3.5882 0.0000 0.0000 0.0000 3.5882 0.0000 0.0000 0.0000 9.2161" Properties=species:S:1:pos:R:3 pbc="T T T"
Tb 0.0000 0.0000 0.0000
Dy 0.0000 0.0000 4.4225
Th 1.7941 1.7941 6.8135
Mg 1.7941 1.7941 2.2208
```

***

No. 11
The following is a DFT calculation (PBE-GGA) of a relaxed structure of LuZn4Ir.

Calculated values
ΔE_f: -2.64 eV/f.u.

Geometry as extended XYZ:
```
6
Lattice="0.0000 3.5800 3.5800 3.5800 0.0000 3.5800 3.5800 3.5800 0.0000" Properties=species:S:1:pos:R:3 pbc="T T T"
Lu 0.0000 0.0000 0.0000
Zn 4.4693 2.6907 2.6907
Zn 2.6907 4.4693 2.6907
Zn 2.6907 2.6907 4.4693
Zn 4.4693 4.4693 4.4693
Ir 1.7900 1.7900 1.7900
```

***

No. 12
The following is a DFT calculation (PBE-GGA) of a relaxed structure of HfAs2SeCl.

Calculated values
E above lowest polymorph: 0.723 eV/atom
N(E_F): 3.5 states/eV/cell

Geometry as extended XYZ:
```
5
Lattice="4.7162 0.0000 0.0000 0.0000 4.7162 0.0000 0.0000 0.0000 4.9660" Properties=species:S:1:pos:R:3 pbc="T T T"
Hf 0.0000 0.0000 0.0000
As 0.0000 2.3581 2.4830
As 2.3581 0.0000 2.4830
Se 2.3581 2.3581 0.0000
Cl 2.3581 2.3581 2.4830
```

***

| no. | final energy (eV/atom) |
| --- | --- |
| 1 | -7.82 |
| 2 | -2.73 |
| 3 | -5.41 |
| 4 | -4.73 |
| 5 | -4.27 |
| 6 | -2.05 |
| 7 | -3.82 |
| 8 | -5.28 |
| 9 | -2.30 |
| 10 | -4.61 |
| 11 | -3.52 |
| 12 | -4.18 |